# 1
A relaxed CePaRhN3 crystal. Source: Alexandria via LeMat-Bulk, functional PBE.

Lattice parameters (Å, degrees): 3.4439 7.2121 7.5578 97.39 90.00 90.00
Fractional positions:
Ce (0.2500, 0.1475, 0.1976)
N (0.7500, 0.4221, 0.1245)
Ce (0.7500, 0.8525, 0.8024)
Pa (0.2500, 0.6473, 0.1723)
N (0.7500, 0.8673, 0.1220)
N (0.2500, 0.1327, 0.8780)
N (0.2500, 0.5779, 0.8755)
N (0.2500, 0.8283, 0.5721)
Pa (0.7500, 0.3527, 0.8277)
Rh (0.7500, 0.8704, 0.4106)
Rh (0.2500, 0.1296, 0.5894)
N (0.7500, 0.1717, 0.4279)

Calculated values
For the uncorrected formation energy, the calculation gives -0.98 eV/atom. The density is 9.21 g/cm3. As for the space group: P2_1/m, No. 11. The total magnetization is 0.00 μB/f.u.

# 2
A relaxed CePa2RhN4 crystal. Source: Alexandria via LeMat-Bulk, functional PBE.

Lattice parameters (Å, degrees): 3.5048 6.0564 11.7005 90.00 90.00 106.82
Last column: magnetic moment on the atom in μB.
Fractional positions:
N (0.5321, 0.0641, 0.2500)  -0.01
N (0.7263, 0.4526, 0.6037)  -0.01
Rh (0.1594, 0.3187, 0.2500)  -0.04
Pa (0.3695, 0.7390, 0.5611)  0.02
Ce (0.8916, 0.7831, 0.2500)  0.45
Rh (0.8406, 0.6813, 0.7500)  -0.04
N (0.0000, 0.0000, 0.0000)  0.00
Pa (0.3695, 0.7390, 0.9389)  0.02
Pa (0.6305, 0.2610, 0.4389)  0.02
Pa (0.6305, 0.2610, 0.0611)  0.02
N (0.2737, 0.5474, 0.1037)  -0.01
Ce (0.1084, 0.2169, 0.7500)  0.45
N (0.0000, 0.0000, 0.5000)  0.00
N (0.2737, 0.5474, 0.3963)  -0.01
N (0.4679, 0.9359, 0.7500)  -0.01
N (0.7263, 0.4526, 0.8963)  -0.01

Calculated values
For the uncorrected formation energy, the calculation gives -1.30 eV/atom. The density is 10.63 g/cm3. As for the space group: Cmcm, No. 63. The total magnetization is 0.47 μB/f.u.

# 3
A relaxed CePa2RhN5 crystal. Source: Alexandria via LeMat-Bulk, functional PBE.

Lattice parameters (Å, degrees): 6.5281 6.5281 7.4310 116.06 116.06 90.00
Last column: magnetic moment on the atom in μB.
Fractional positions:
N (0.5261, 0.7187, 0.7448)  0.00
N (0.7813, 0.9739, 0.2552)  0.00
N (0.2813, 0.7813, 0.2552)  0.00
Ce (0.7500, 0.7500, 0.5000)  0.56
N (0.9739, 0.4739, 0.2552)  0.00
Rh (0.2500, 0.7500, 0.5000)  0.06
Pa (0.1724, 0.3276, 0.0000)  0.03
N (0.0000, 0.0000, 0.0000)  0.00
Pa (0.8276, 0.6724, 0.0000)  0.03
Ce (0.2500, 0.2500, 0.5000)  0.56
N (0.2187, 0.0261, 0.7448)  0.00
Pa (0.6724, 0.1724, 0.0000)  0.03
Rh (0.7500, 0.2500, 0.5000)  0.06
N (0.0261, 0.5261, 0.7448)  0.00
Pa (0.3276, 0.8276, 0.0000)  0.03
N (0.7187, 0.2187, 0.7448)  0.00
N (0.4739, 0.2813, 0.2552)  0.00
N (0.5000, 0.5000, 0.0000)  0.00

Calculated values
For the uncorrected formation energy, the calculation gives -1.09 eV/atom. The density is 10.37 g/cm3. As for the space group: I4/mcm, No. 140. The total magnetization is 0.79 μB/f.u.

# 4
A relaxed Ce2PaRhN4 crystal. Source: Alexandria via LeMat-Bulk, functional PBE.

Lattice parameters (Å, degrees): 6.0103 5.2212 5.2212 70.65 54.86 54.86
Last column: magnetic moment on the atom in μB.
Fractional positions:
N (0.5320, 0.0000, 0.3907)  -0.01
N (0.0773, 0.3907, 0.0000)  -0.01
Rh (0.5000, 0.0000, 0.0000)  0.04
Ce (0.0000, 0.5000, 0.5000)  0.31
Pa (0.0000, 0.0000, 0.0000)  0.15
N (0.4680, 0.6093, 0.0000)  -0.01
N (0.9227, 0.0000, 0.6093)  -0.01
Ce (0.5000, 0.5000, 0.5000)  0.31

Calculated values
For the uncorrected formation energy, the calculation gives -0.61 eV/atom. The density is 10.16 g/cm3. As for the space group: I-42m, No. 121. The total magnetization is 0.90 μB/f.u.

# 5
A relaxed Ce2PaRuN4 crystal. Source: Alexandria via LeMat-Bulk, functional PBE.

Lattice parameters (Å, degrees): 6.0859 5.2650 5.2650 70.49 54.69 54.69
Last column: magnetic moment on the atom in μB.
Fractional positions:
N (0.0961, 0.3671, 0.0000)  -0.01
Ce (0.0000, 0.5000, 0.5000)  0.70
N (0.9039, 0.0000, 0.6329)  -0.01
N (0.5368, 0.0000, 0.3671)  -0.01
Ce (0.5000, 0.5000, 0.5000)  0.70
Ru (0.5000, 0.0000, 0.0000)  0.31
N (0.4632, 0.6329, 0.0000)  -0.01
Pa (0.0000, 0.0000, 0.0000)  0.37

Calculated values
For the uncorrected formation energy, the calculation gives -0.58 eV/atom. The density is 9.88 g/cm3. As for the space group: I-42m, No. 121. The total magnetization is 2.45 μB/f.u.

# 6
A relaxed Ce3Pa3RuN8 crystal. Source: Alexandria via LeMat-Bulk, functional PBE.

Lattice parameters (Å, degrees): 6.8676 6.8676 6.9064 119.81 90.00 120.00
Fractional positions:
Pa (0.0000, 0.5000, 0.5000)
N (0.2493, 0.0168, 0.2843)
Ce (0.0000, 0.5000, 0.0000)
Ce (0.0000, 0.0000, 0.0000)
N (0.2325, 0.9832, 0.7157)
N (0.2567, 0.5133, 0.2700)
Pa (0.5000, 0.5000, 0.5000)
N (0.7675, 0.5351, 0.2843)
Pa (0.5000, 0.0000, 0.5000)
N (0.7675, 0.0168, 0.2843)
N (0.2325, 0.4649, 0.7157)
Ru (0.0000, 0.0000, 0.5000)
Ce (0.5000, 0.5000, 0.0000)
N (0.7507, 0.9832, 0.7157)
N (0.7433, 0.4867, 0.7300)

Calculated values
For the uncorrected formation energy, the calculation gives -1.22 eV/atom. The density is 9.54 g/cm3. As for the space group: R-3m, No. 166. The total magnetization is 0.04 μB/f.u.

# 7
A relaxed CePa2RuN4 crystal. Source: Alexandria via LeMat-Bulk, functional PBE.

Lattice parameters (Å, degrees): 3.4343 6.1209 11.6545 90.00 90.00 106.29
Last column: magnetic moment on the atom in μB.
Fractional positions:
N (0.2760, 0.5519, 0.1135)  -0.01
N (0.2760, 0.5519, 0.3865)  -0.01
Pa (0.6311, 0.2623, 0.0580)  -0.01
Pa (0.6311, 0.2623, 0.4420)  -0.01
N (0.7240, 0.4481, 0.6135)  -0.01
Pa (0.3689, 0.7377, 0.9420)  -0.01
N (0.0000, 0.0000, 0.5000)  0.00
N (0.5433, 0.0866, 0.2500)  0.00
N (0.4567, 0.9134, 0.7500)  0.00
Ce (0.8933, 0.7866, 0.2500)  0.34
Ru (0.8459, 0.6919, 0.7500)  0.00
N (0.0000, 0.0000, 0.0000)  0.00
Ce (0.1067, 0.2134, 0.7500)  0.34
Pa (0.3689, 0.7377, 0.5580)  -0.01
N (0.7240, 0.4481, 0.8865)  -0.01
Ru (0.1541, 0.3081, 0.2500)  0.00

Calculated values
For the uncorrected formation energy, the calculation gives -1.27 eV/atom. The density is 10.72 g/cm3. As for the space group: Cmcm, No. 63. The total magnetization is 0.33 μB/f.u.

# 8
A relaxed CePaRuN3 crystal. Source: Alexandria via LeMat-Bulk, functional PBE.

Lattice parameters (Å, degrees): 3.4090 7.2737 7.5467 97.67 90.00 90.00
Fractional positions:
N (0.7500, 0.1767, 0.4439)
N (0.7500, 0.8730, 0.1315)
Ce (0.7500, 0.8489, 0.8104)
Pa (0.2500, 0.6462, 0.1743)
N (0.2500, 0.1270, 0.8685)
Ru (0.7500, 0.8812, 0.4181)
N (0.2500, 0.8233, 0.5561)
Pa (0.7500, 0.3538, 0.8257)
N (0.2500, 0.5836, 0.8768)
Ru (0.2500, 0.1188, 0.5819)
N (0.7500, 0.4164, 0.1232)
Ce (0.2500, 0.1511, 0.1896)

Calculated values
For the uncorrected formation energy, the calculation gives -0.98 eV/atom. The density is 9.21 g/cm3. As for the space group: P2_1/m, No. 11. The total magnetization is 0.00 μB/f.u.

# 9
A relaxed CePaSN2 crystal. Source: Alexandria via LeMat-Bulk, functional PBE.

Lattice parameters (Å, degrees): 3.8500 3.8500 6.6395 106.85 106.85 90.00
Last column: magnetic moment on the atom in μB.
Fractional positions:
S (0.5053, 0.5053, 0.0106)  -0.02
Pa (0.1546, 0.1546, 0.3091)  0.24
Ce (0.8531, 0.8531, 0.7062)  0.69
N (0.7435, 0.2435, 0.4870)  -0.02
N (0.2435, 0.7435, 0.4870)  -0.02

Calculated values
For the uncorrected formation energy, the calculation gives -1.74 eV/atom. The density is 7.98 g/cm3. As for the space group: I4mm, No. 107. The total magnetization is 1.01 μB/f.u.

# 10
A relaxed CePaSbN2 crystal. Source: Alexandria via LeMat-Bulk, functional PBE.

Lattice parameters (Å, degrees): 3.9618 3.9618 6.8981 106.69 106.69 90.00
Last column: magnetic moment on the atom in μB.
Fractional positions:
N (0.7448, 0.2448, 0.4897)  -0.01
Pa (0.1631, 0.1631, 0.3261)  -0.01
Ce (0.8443, 0.8443, 0.6887)  0.23
Sb (0.5029, 0.5029, 0.0059)  -0.01
N (0.2448, 0.7448, 0.4897)  -0.01

Calculated values
For the uncorrected formation energy, the calculation gives -1.51 eV/atom. The density is 8.74 g/cm3. As for the space group: I4mm, No. 107. The total magnetization is 0.19 μB/f.u.

# 11
A relaxed Ce2Pa4Sb3N2 crystal. Source: Alexandria via LeMat-Bulk, functional PBE.

Lattice parameters (Å, degrees): 4.6152 4.6152 13.3232 99.97 99.97 90.00
Last column: magnetic moment on the atom in μB.
Fractional positions:
Pa (0.0877, 0.5877, 0.1755)  0.13
Sb (0.0000, 0.0000, 0.0000)  0.00
Pa (0.9123, 0.4123, 0.8245)  0.13
Ce (0.3048, 0.3048, 0.6096)  0.81
Ce (0.6952, 0.6952, 0.3904)  0.81
Sb (0.8223, 0.8223, 0.6446)  -0.01
Pa (0.5877, 0.0877, 0.1755)  0.13
N (0.4081, 0.4081, 0.8163)  -0.01
N (0.5919, 0.5919, 0.1837)  -0.01
Sb (0.1777, 0.1777, 0.3554)  -0.01
Pa (0.4123, 0.9123, 0.8245)  0.13

Calculated values
For the uncorrected formation energy, the calculation gives -0.89 eV/atom. The density is 9.64 g/cm3. As for the space group: I4/mmm, No. 139. The total magnetization is 2.57 μB/f.u.

# 12
A relaxed Ce2PaSbN2 crystal. Source: Alexandria via LeMat-Bulk, functional PBE.

Lattice parameters (Å, degrees): 4.4383 4.4383 6.5823 90.00 90.00 90.00
Last column: magnetic moment on the atom in μB.
Fractional positions:
Pa (0.0000, 0.0000, 0.0000)  0.40
Ce (0.5000, 0.5000, 0.7596)  1.15
N (0.0000, 0.5000, 0.0000)  -0.04
N (0.5000, 0.0000, 0.0000)  -0.04
Ce (0.5000, 0.5000, 0.2404)  1.15
Sb (0.0000, 0.0000, 0.5000)  -0.04

Calculated values
For the uncorrected formation energy, the calculation gives -1.17 eV/atom. The density is 8.47 g/cm3. As for the space group: P4/mmm, No. 123. The total magnetization is 3.34 μB/f.u.

# 13
A relaxed Ce2PaSb2N2 crystal. Source: Alexandria via LeMat-Bulk, functional PBE.

Lattice parameters (Å, degrees): 4.1193 6.5099 7.0789 67.29 73.08 71.56
Last column: magnetic moment on the atom in μB.
Fractional positions:
N (0.8094, 0.3068, 0.0745)  -0.02
Sb (0.5679, 0.2165, 0.6476)  -0.02
Sb (0.4321, 0.7835, 0.3524)  -0.02
Pa (0.0000, 0.0000, 0.0000)  0.00
Ce (0.8058, 0.6281, 0.7603)  0.52
N (0.1906, 0.6932, 0.9255)  -0.02
Ce (0.1942, 0.3719, 0.2397)  0.52

Calculated values
For the uncorrected formation energy, the calculation gives -1.30 eV/atom. The density is 7.97 g/cm3. As for the space group: C2/m, No. 12. The total magnetization is 1.01 μB/f.u.

# 14
A relaxed Ce2ScPaN4 crystal. Source: Alexandria via LeMat-Bulk, functional PBE.

Lattice parameters (Å, degrees): 3.4619 6.0620 5.9232 71.42 90.00 90.00
Fractional positions:
Pa (0.0000, 0.5000, 0.5000)
N (0.5000, 0.7221, 0.2516)
Ce (0.5000, 0.0000, 0.5000)
N (0.5000, 0.2779, 0.7484)
N (0.0000, 0.7231, 0.7595)
Ce (0.0000, 0.0000, 0.0000)
N (0.0000, 0.2769, 0.2405)
Sc (0.5000, 0.5000, 0.0000)

Calculated values
For the uncorrected formation energy, the calculation gives -1.62 eV/atom. The density is 8.63 g/cm3. As for the space group: P2/m, No. 10. The total magnetization is 0.00 μB/f.u.

# 15
A relaxed CeSc3Pa2N6 crystal. Source: Alexandria via LeMat-Bulk, functional PBE.

Lattice parameters (Å, degrees): 3.3536 6.7786 7.5462 103.62 102.84 90.00
Fractional positions:
Sc (0.1658, 0.8335, 0.3315)
N (0.6632, 0.5913, 0.3263)
Ce (0.5000, 0.0000, 0.0000)
N (0.9997, 0.2684, 0.9994)
N (0.3368, 0.4087, 0.6736)
Sc (0.8342, 0.1665, 0.6685)
Pa (0.8341, 0.6684, 0.6682)
N (0.3264, 0.9199, 0.6528)
N (0.0003, 0.7316, 0.0006)
Pa (0.1659, 0.3316, 0.3318)
Sc (0.5000, 0.5000, 0.0000)
N (0.6736, 0.0801, 0.3472)

Calculated values
For the uncorrected formation energy, the calculation gives -1.68 eV/atom. The density is 8.40 g/cm3. As for the space group: C2/m, No. 12. The total magnetization is 0.00 μB/f.u.

# 16
A relaxed CeSc2PaN4 crystal. Source: Alexandria via LeMat-Bulk, functional PBE.

Lattice parameters (Å, degrees): 3.3641 5.8700 5.8337 70.81 90.00 90.00
Fractional positions:
Pa (0.0000, 0.5000, 0.5000)
Sc (0.0000, 0.0000, 0.0000)
Ce (0.5000, 0.5000, 0.0000)
N (0.0000, 0.7666, 0.7328)
N (0.0000, 0.2334, 0.2672)
N (0.5000, 0.7673, 0.2528)
Sc (0.5000, 0.0000, 0.5000)
N (0.5000, 0.2327, 0.7472)

Calculated values
For the uncorrected formation energy, the calculation gives -1.67 eV/atom. The density is 7.89 g/cm3. As for the space group: P2/m, No. 10. The total magnetization is 0.00 μB/f.u.

# 17
A relaxed Ce2PaSe2N2 crystal. Source: Alexandria via LeMat-Bulk, functional PBE.

Lattice parameters (Å, degrees): 4.4028 4.4028 8.3884 105.21 105.21 90.00
Last column: magnetic moment on the atom in μB.
Fractional positions:
N (0.5000, 0.0000, 0.0000)  -0.04
N (0.0000, 0.5000, 0.0000)  -0.04
Se (0.8163, 0.8163, 0.6326)  -0.02
Pa (0.0000, 0.0000, 0.0000)  0.26
Ce (0.6187, 0.6187, 0.2374)  1.18
Ce (0.3813, 0.3813, 0.7626)  1.18
Se (0.1837, 0.1837, 0.3674)  -0.02

Calculated values
For the uncorrected formation energy, the calculation gives -1.58 eV/atom. The density is 7.67 g/cm3. As for the space group: I4/mmm, No. 139. The total magnetization is 2.99 μB/f.u.

# 18
A relaxed CePa2SiN6 crystal. Source: Alexandria via LeMat-Bulk, functional PBE.

Lattice parameters (Å, degrees): 5.2371 5.2267 5.2267 90.00 90.00 90.00
Fractional positions:
Si (0.6003, 0.0000, 0.0000)
N (0.7398, 0.7678, 0.2322)
N (0.2589, 0.0000, 0.0000)
Pa (0.9874, 0.5000, 0.0000)
Pa (0.9874, 0.0000, 0.5000)
N (0.7398, 0.2322, 0.7678)
N (0.1156, 0.5000, 0.5000)
N (0.7398, 0.2322, 0.2322)
Ce (0.5378, 0.5000, 0.5000)
N (0.7398, 0.7678, 0.7678)

Calculated values
For the uncorrected formation energy, the calculation gives -1.06 eV/atom. The density is 8.29 g/cm3. As for the space group: P4mm, No. 99. The total magnetization is 0.00 μB/f.u.

# 19
A relaxed CePa2SiN5 crystal. Source: Alexandria via LeMat-Bulk, functional PBE.

Lattice parameters (Å, degrees): 5.5196 6.5866 6.5866 90.00 90.00 90.00
Last column: magnetic moment on the atom in μB.
Fractional positions:
Pa (0.5000, 0.6763, 0.1763)  0.02
Ce (0.0000, 0.5000, 0.5000)  0.63
Pa (0.5000, 0.8237, 0.6763)  0.02
Ce (0.0000, 0.0000, 0.0000)  0.63
N (0.7640, 0.8601, 0.3601)  -0.01
N (0.7640, 0.1399, 0.6399)  -0.01
Si (0.0000, 0.0000, 0.5000)  0.00
N (0.2360, 0.3601, 0.1399)  -0.01
N (0.7640, 0.6399, 0.8601)  -0.01
Si (0.0000, 0.5000, 0.0000)  0.00
N (0.2360, 0.1399, 0.6399)  -0.01
N (0.2360, 0.8601, 0.3601)  -0.01
Pa (0.5000, 0.1763, 0.3237)  0.02
Pa (0.5000, 0.3237, 0.8237)  0.02
N (0.5000, 0.5000, 0.5000)  -0.01
N (0.2360, 0.6399, 0.8601)  -0.01
N (0.7640, 0.3601, 0.1399)  -0.01
N (0.5000, 0.0000, 0.0000)  -0.01

Calculated values
For the uncorrected formation energy, the calculation gives -1.28 eV/atom. The density is 9.71 g/cm3. As for the space group: P4/mbm, No. 127. The total magnetization is 0.70 μB/f.u.

# 20
A relaxed Ce3SmPa2N6 crystal. Source: Alexandria via LeMat-Bulk, functional PBE.

Lattice parameters (Å, degrees): 6.1398 6.1398 6.1657 99.58 99.58 119.97
Fractional positions:
Pa (0.6669, 0.3331, 0.0000)
N (0.2739, 0.2739, 0.7706)
Ce (0.1653, 0.8347, 0.5000)
N (0.7261, 0.7261, 0.2294)
N (0.0774, 0.4275, 0.2314)
N (0.5725, 0.9226, 0.7686)
N (0.9226, 0.5725, 0.7686)
Pa (0.3331, 0.6669, 0.0000)
Sm (0.0000, 0.0000, 0.0000)
Ce (0.8347, 0.1653, 0.5000)
Ce (0.5000, 0.5000, 0.5000)
N (0.4275, 0.0774, 0.2314)

Calculated values
For the uncorrected formation energy, the calculation gives -1.59 eV/atom. The density is 9.77 g/cm3. As for the space group: C2/m, No. 12. The total magnetization is 0.00 μB/f.u.